No. 1
A plane-wave DFT calculation with PBE was carried out for a relaxed ZrAl3Zn crystal.

Calculated values
The energy above the most stable polymorph in this dataset is 0.0 meV/atom. The calculation puts the energy at -3.743 eV/atom.

a b c (Å): 4.644 4.644 4.644
angles (deg): 90.00 90.00 90.00
Positions (direct):
Zr: 0.000 0.000 0.000
Al: 0.000 0.500 0.500
Al: 0.500 0.000 0.500
Al: 0.500 0.500 0.000
Zn: 0.500 0.500 0.500

=====

No. 2
A plane-wave DFT calculation with PBE was carried out for a relaxed ZrAl6Zn2 crystal.

Calculated values
The calculation puts the energy at -3.819 eV/atom.

a b c (Å): 6.998 6.998 5.249
angles (deg): 105.96 105.96 38.44
Positions (direct):
Zr: 0.000 0.000 0.000
Al: 0.127 0.127 0.590
Al: 0.227 0.227 0.161
Al: 0.355 0.355 0.707
Al: 0.645 0.645 0.293
Al: 0.773 0.773 0.839
Al: 0.873 0.873 0.410
Zn: 0.433 0.433 0.249
Zn: 0.567 0.567 0.751

=====

No. 3
A plane-wave DFT calculation with PBE was carried out for a relaxed ZrAl3 crystal.

Calculated values
The calculation puts the energy at -5.413 eV/atom.

a b c (Å): 4.106 4.106 4.106
angles (deg): 90.00 90.00 90.00
Positions (direct):
Zr: 0.000 0.000 0.000
Al: 0.000 0.500 0.500
Al: 0.500 0.000 0.500
Al: 0.500 0.500 0.000

=====

No. 4
A plane-wave DFT calculation with PBE was carried out for a relaxed ZrAl2 crystal.

Calculated values
The calculation puts the energy at -5.649 eV/atom.

a b c (Å): 5.752 5.752 4.297
angles (deg): 90.00 90.00 51.30
Positions (direct):
Zr: 0.234 0.766 0.750
Zr: 0.766 0.234 0.250
Al: 0.127 0.513 0.250
Al: 0.487 0.873 0.250
Al: 0.513 0.127 0.750
Al: 0.873 0.487 0.750

=====

No. 5
A plane-wave DFT calculation with PBE was carried out for a relaxed ZrAl2 crystal.

Calculated values
The calculation puts the energy at -5.884 eV/atom.

a b c (Å): 5.296 5.296 8.770
angles (deg): 90.00 90.00 120.00
Positions (direct):
Zr: 0.333 0.667 0.066
Zr: 0.333 0.667 0.434
Zr: 0.667 0.333 0.566
Zr: 0.667 0.333 0.934
Al: 0.000 0.000 0.000
Al: 0.000 0.000 0.500
Al: 0.171 0.342 0.750
Al: 0.171 0.829 0.750
Al: 0.342 0.171 0.250
Al: 0.658 0.829 0.750
Al: 0.829 0.171 0.250
Al: 0.829 0.658 0.250

=====

No. 6
A plane-wave DFT calculation with PBE was carried out for a relaxed Zr2Al crystal.

Calculated values
The calculation puts the energy at -6.724 eV/atom.

a b c (Å): 6.557 6.557 6.557
angles (deg): 90.00 90.00 90.00
Positions (direct):
Zr: 0.151 0.151 0.151
Zr: 0.151 0.349 0.651
Zr: 0.349 0.651 0.151
Zr: 0.349 0.849 0.651
Zr: 0.651 0.151 0.349
Zr: 0.651 0.349 0.849
Zr: 0.849 0.651 0.349
Zr: 0.849 0.849 0.849
Al: 0.000 0.000 0.500
Al: 0.000 0.500 0.000
Al: 0.500 0.000 0.000
Al: 0.500 0.500 0.500

=====

No. 7
A plane-wave DFT calculation with PBE was carried out for a relaxed ZrAl3 crystal.

Calculated values
The calculation puts the energy at -5.411 eV/atom.

a b c (Å): 5.310 5.310 5.310
angles (deg): 136.24 136.24 63.60
Positions (direct):
Zr: 0.000 0.000 0.000
Al: 0.250 0.750 0.500
Al: 0.500 0.500 0.000
Al: 0.750 0.250 0.500

=====

No. 8
A plane-wave DFT calculation with PBE was carried out for a relaxed ZrAl4 crystal.

Calculated values
The energy above the most stable polymorph in this dataset is 666.1 meV/atom. The calculation puts the energy at -4.286 eV/atom.

a b c (Å): 5.468 5.468 5.468
angles (deg): 109.47 109.47 109.47
Positions (direct):
Zr: 0.000 0.000 0.000
Al: 0.000 0.000 0.500
Al: 0.000 0.500 0.000
Al: 0.500 0.000 0.000
Al: 0.500 0.500 0.500

=====

No. 9
A plane-wave DFT calculation with PBE was carried out for a relaxed ZrAl3 crystal.

Calculated values
The calculation puts the energy at -5.039 eV/atom.

a b c (Å): 3.051 3.051 9.172
angles (deg): 90.00 90.00 120.00
Positions (direct):
Zr: 0.000 0.000 0.000
Al: 0.000 0.000 0.500
Al: 0.333 0.667 0.261
Al: 0.333 0.667 0.739

=====

No. 10
A plane-wave DFT calculation with PBE was carried out for a relaxed Zr4Al5 crystal.

Calculated values
The calculation puts the energy at -6.238 eV/atom.

a b c (Å): 8.382 8.382 5.666
angles (deg): 90.00 90.00 120.00
Positions (direct):
Zr: 0.000 0.000 0.000
Zr: 0.000 0.000 0.500
Zr: 0.000 0.365 0.250
Zr: 0.000 0.635 0.750
Zr: 0.365 0.000 0.250
Zr: 0.365 0.365 0.750
Zr: 0.635 0.000 0.750
Zr: 0.635 0.635 0.250
Al: 0.000 0.304 0.750
Al: 0.000 0.696 0.250
Al: 0.304 0.000 0.750
Al: 0.304 0.304 0.250
Al: 0.333 0.667 0.000
Al: 0.333 0.667 0.500
Al: 0.667 0.333 0.000
Al: 0.667 0.333 0.500
Al: 0.696 0.000 0.250
Al: 0.696 0.696 0.750

=====

No. 11
A plane-wave DFT calculation with PBE was carried out for a relaxed ZrAl2 crystal.

Calculated values
The calculation puts the energy at -5.815 eV/atom.

a b c (Å): 5.854 4.041 9.358
angles (deg): 90.00 90.00 90.00
Positions (direct):
Zr: 0.117 0.250 0.107
Zr: 0.383 0.750 0.607
Zr: 0.617 0.250 0.393
Zr: 0.883 0.750 0.893
Al: 0.118 0.250 0.430
Al: 0.156 0.250 0.769
Al: 0.344 0.750 0.269
Al: 0.382 0.750 0.930
Al: 0.618 0.250 0.070
Al: 0.656 0.250 0.731
Al: 0.844 0.750 0.231
Al: 0.882 0.750 0.570

=====

No. 12
A plane-wave DFT calculation with PBE was carried out for a relaxed ZrAl3 crystal.

Calculated values
The calculation puts the energy at -5.433 eV/atom.

a b c (Å): 9.117 9.117 9.117
angles (deg): 154.56 154.56 36.29
Positions (direct):
Zr: 0.119 0.119 0.000
Zr: 0.881 0.881 0.000
Al: 0.000 0.500 0.500
Al: 0.250 0.750 0.500
Al: 0.375 0.375 0.000
Al: 0.500 0.000 0.500
Al: 0.625 0.625 0.000
Al: 0.750 0.250 0.500

=====

Number 1: ΔH_f (0 K) 467 meV/atom. Number 2: ΔH_f (0 K) -91 meV/atom. Number 3: ΔH_f (0 K) -469 meV/atom. Number 4: ΔH_f (0 K) -305 meV/atom. Number 5: ΔH_f (0 K) -540 meV/atom. Number 6: ΔH_f (0 K) 222 meV/atom. Number 7: ΔH_f (0 K) -467 meV/atom. Number 8: ΔH_f (0 K) 418 meV/atom. Number 9: ΔH_f (0 K) -95 meV/atom. Number 10: ΔH_f (0 K) -359 meV/atom. Number 11: ΔH_f (0 K) -470 meV/atom. Number 12: ΔH_f (0 K) -489 meV/atom.